Record 1
Ho3PbSeS | PBE | relaxed

Results
Formation energy without anion corrections   -8.3 eV/f.u.

abc: 7.098 4.168 10.810
angles: 90.00 102.42 90.00
Fractional coordinates of all 12 atoms:
Ho (0.048, 0.250, 0.161)
Ho (0.244, 0.250, 0.508)
Ho (0.445, 0.750, 0.828)
Ho (0.555, 0.250, 0.172)
Ho (0.756, 0.750, 0.492)
Ho (0.952, 0.750, 0.839)
Pb (0.344, 0.750, 0.308)
Pb (0.656, 0.250, 0.692)
Se (0.237, 0.250, 0.945)
Se (0.763, 0.750, 0.055)
S (0.126, 0.750, 0.636)
S (0.874, 0.250, 0.364)



Record 2
Tb2TeCl | PBE | relaxed

Results
Energy above the lowest structure with this stoichiometry   13 meV per atom
Formation energy without anion corrections   -4.6 eV/f.u.

abc: 4.065 4.065 27.399
angles: 90.00 90.00 120.00
Fractional coordinates of all 12 atoms:
Tb (0.000, 0.000, 0.096)
Tb (0.000, 0.000, 0.904)
Tb (0.333, 0.667, 0.571)
Tb (0.333, 0.667, 0.762)
Tb (0.667, 0.333, 0.238)
Tb (0.667, 0.333, 0.429)
Te (0.000, 0.000, 0.500)
Te (0.333, 0.667, 0.167)
Te (0.667, 0.333, 0.833)
Cl (0.000, 0.000, 0.000)
Cl (0.333, 0.667, 0.667)
Cl (0.667, 0.333, 0.333)



Record 3
CuTeRh2 | PBE | relaxed

Results
Formation energy without anion corrections   -0.4 eV/f.u.

abc: 4.160 4.160 7.140
angles: 90.00 90.00 90.00
Fractional coordinates of all 8 atoms:
Cu (0.000, 0.000, 0.000)
Cu (0.500, 0.500, 0.500)
Te (0.000, 0.000, 0.500)
Te (0.500, 0.500, 0.000)
Rh (0.000, 0.500, 0.250)
Rh (0.000, 0.500, 0.750)
Rh (0.500, 0.000, 0.250)
Rh (0.500, 0.000, 0.750)



> Look up the formation energy without anion corrections of the third one.

-0.4 eV/f.u.